Entry 1:
VASP calculation (PBE-GGA) on a relaxed UAsH9O10 crystal.

Summary:
total energy = -506.22 eV/cell

```
84
Lattice="7.1679 -0.0047 -0.0009 0.0048 7.2435 -0.0010 0.0546 -0.0002 17.7319" Properties=species:S:1:pos:R:3 pbc="T T T"
As 1.8238 1.8255 8.8333
As 5.3758 5.4448 0.0310
As 5.4034 5.4131 8.8967
As 1.8515 1.7938 17.6990
O 1.8163 5.4470 6.0862
O 7.1211 2.6278 14.3484
O 3.6025 0.9898 14.3265
O 1.8490 5.4124 9.7107
O 3.6330 4.6093 12.2677
O 6.7460 5.8427 16.7275
O 1.4761 3.1410 16.6996
O 1.4500 0.4776 7.8345
O 5.4110 1.7916 11.6438
O 5.3782 1.8262 8.0193
O 4.9993 6.7546 1.0874
O 0.5052 2.2258 9.8639
O 5.7511 4.0976 1.0304
O 5.3849 1.8243 2.7779
O 2.2279 0.4840 16.6426
O 2.1603 2.9218 3.5345
O 3.1301 1.4751 9.9021
O 5.7772 6.7611 9.8955
O 0.1195 6.2531 12.2471
O 6.7221 5.0128 7.8661
O 3.6247 6.2488 3.4035
O 6.0673 0.1210 14.3685
O 7.1077 0.9855 5.4829
O 1.1688 3.7452 12.2264
O 1.8145 5.4511 0.8445
O 6.0584 3.4934 5.5036
O 3.5942 2.6293 5.4623
O 4.0972 5.7635 7.8279
O 2.2058 3.1334 7.7765
O 1.8423 5.4143 14.9521
O 1.1599 7.1176 3.3615
O 5.4128 1.7875 16.8855
O 2.1676 0.6985 12.3996
O 5.0597 6.5401 5.3304
O 3.1069 2.1435 1.0314
O 4.1203 5.0951 16.6986
O 5.0214 4.1052 9.9535
O 5.0669 4.3168 14.1955
O 0.4812 1.3959 1.0025
O 0.1061 4.6108 3.3816
H 4.5411 0.5840 14.3225
H 6.7761 1.9306 5.4968
H 0.4511 5.3080 12.2332
H 5.7670 0.0052 5.4101
H 0.9721 3.2098 11.4197
H 6.4242 4.0120 4.7244
H 0.4396 5.5552 3.3682
H 2.5432 2.7300 2.6428
H 4.5339 3.0343 5.4590
H 3.1342 0.8108 15.1897
H 0.8030 3.2266 13.0056
H 5.7794 3.6090 14.2740
H 4.1019 4.4316 11.4048
H 6.4370 6.8448 13.5889
H 3.1254 2.8070 6.3251
H 0.4513 0.8609 6.3200
H 4.6840 4.5086 15.0872
H 2.9455 2.8476 4.5506
H 2.6933 4.2044 12.2710
H 4.2751 6.4672 4.3156
H 6.7760 6.3777 11.4100
H 1.4603 7.2334 12.3199
H 0.4643 2.7607 15.1856
H 2.9521 0.7714 13.4144
H 0.9574 0.4089 2.5558
H 1.4478 3.6297 3.4560
H 6.2698 6.8297 15.1742
H 6.2552 4.0288 6.3103
H 4.2817 4.3910 13.1794
H 4.0930 6.4279 2.5403
H 4.6725 6.3516 6.2210
H 6.7876 1.6834 14.3618
H 2.6861 6.6547 3.4075
H 0.7902 0.3938 4.1411
H 6.7629 4.4779 2.5444
H 2.5548 0.8871 11.5090
U 5.3838 1.8120 0.9656
U 1.8201 5.4351 7.8986
U 5.4071 1.8035 9.8314
U 1.8434 5.4267 16.7644
```

Entry 2:
VASP calculation (PBE-GGA) on a relaxed AlCr2SnBr crystal.

Summary:
formation energy without anion corrections = 1.506 eV/atom

```
5
Lattice="4.4488 0.0000 0.0000 0.0000 5.5826 0.0000 0.0000 0.0000 4.4488" Properties=species:S:1:pos:R:3 pbc="T T T"
Cr 2.2244 0.0000 0.0000
Cr 0.0000 0.0000 2.2244
Al 2.2244 2.7913 2.2244
Sn 0.0000 2.7913 0.0000
Br 0.0000 0.0000 0.0000
```

Entry 3:
VASP calculation (PBE-GGA) on a relaxed CsCrSnSe4 crystal.

Summary:
formation energy without anion corrections = -0.542 eV/atom

```
14
Lattice="6.8873 0.0000 -1.5732 0.0000 7.0676 0.0000 -4.5891 0.0000 10.2434" Properties=species:S:1:pos:R:3 pbc="T T T"
Cs 1.9843 1.7669 0.1949
Cs 0.3140 5.3007 8.4753
Se -2.4713 3.4910 6.6944
Se 4.7696 3.5766 1.9758
Se 0.6662 1.7669 3.4753
Se 4.7696 7.0248 1.9758
Se 0.6145 1.7669 7.1498
Se -2.4713 0.0428 6.6944
Se 1.6837 5.3007 1.5203
Se 1.6320 5.3007 5.1949
Sn 2.3984 1.7668 5.3059
Sn -0.1001 5.3008 3.3643
Cr 3.4986 5.3007 3.4560
Cr -1.2003 1.7669 5.2142
```

Entry 4:
VASP calculation (PBE-GGA) on a relaxed Nb6C2N crystal.

Summary:
formation energy without anion corrections = -0.626 eV/atom

```
27
Lattice="-2.9836 2.4493 3.1102 -7.4857 -2.8404 -4.9441 3.1707 -5.2242 7.1556" Properties=species:S:1:pos:R:3 pbc="T T T"
C -4.9944 -1.8951 -3.2986
C 1.0552 -1.7387 2.3815
C 2.1154 -3.4855 4.7741
C -2.4914 -0.9453 -1.6455
C -1.4361 -2.6840 0.7360
C -2.8790 -5.3806 1.4755
Nb -3.8090 -2.3287 4.0960
Nb -1.2938 -1.3743 5.7572
Nb -2.7436 -4.0840 6.5003
Nb -2.0687 -0.6059 0.4743
Nb -7.3526 -1.5364 0.0709
Nb -3.4896 -3.2866 1.2257
Nb -4.5550 -1.5313 -1.1786
Nb 0.0540 -4.0789 5.2509
Nb -4.8538 -0.5882 1.7213
Nb -2.4448 -5.0271 3.6005
Nb -7.0417 -2.4929 -2.8102
Nb -2.3633 0.3481 3.3782
Nb -1.0044 -2.3350 2.8622
Nb -6.0049 -4.2410 -0.4355
Nb -0.2570 -3.1225 8.1320
Nb -6.2942 -3.2803 2.4595
Nb -5.2300 -5.0094 4.8474
Nb -4.9353 -5.9634 1.9435
N -5.4322 -2.4048 0.6513
N -1.8665 -3.2105 4.6704
N 0.0000 0.0000 0.0000
```

Entry 5:
VASP calculation (PBE-GGA) on a relaxed NpCd2Sn2 crystal.

Summary:
total energy = -45.91 eV/cell

```
10
Lattice="4.3961 0.0000 -0.7814 0.0000 4.4468 0.0000 -0.0480 0.0000 12.4870" Properties=species:S:1:pos:R:3 pbc="T T T"
Np 2.8405 3.3351 3.2238
Np 1.5076 1.1117 8.4818
Cd 4.1492 1.1117 10.5863
Cd 1.9655 3.3351 11.0576
Cd 2.3827 1.1117 0.6480
Cd 0.1990 3.3351 1.1193
Sn 3.7634 3.3351 8.4158
Sn 3.2727 1.1117 5.6550
Sn 1.0755 3.3351 6.0506
Sn 0.5848 1.1117 3.2898
```

Entry 6:
VASP calculation (PBE-GGA) on a relaxed AgP2PdF crystal.

Summary:
formation energy without anion corrections = 0.565 eV/atom

```
5
Lattice="4.3998 0.0000 0.0000 0.0000 4.3194 0.0000 0.0000 0.0000 4.3998" Properties=species:S:1:pos:R:3 pbc="T T T"
Pd 0.0000 2.1597 0.0000
Ag 2.1999 2.1597 2.1999
P 0.0000 0.0000 2.1999
P 2.1999 0.0000 0.0000
F 0.0000 0.0000 0.0000
```

Entry 7:
VASP calculation (PBE-GGA) on a relaxed K2CuIrN crystal.

Summary:
formation energy without anion corrections = 0.253 eV/atom

```
5
Lattice="-3.1046 3.5328 3.5993 2.0533 -1.1114 2.8619 3.8205 4.4066 -1.0298" Properties=species:S:1:pos:R:3 pbc="T T T"
K 1.9102 2.2033 -0.5149
K -1.5523 1.7664 1.7997
Cu 1.3846 3.4140 2.7158
N 0.0000 0.0000 0.0000
Ir 1.0267 -0.5557 1.4310
```

Entry 8:
VASP calculation (PBE-GGA) on a relaxed AgCO2F crystal.

Summary:
formation energy without anion corrections = 0.424 eV/atom

```
5
Lattice="3.1573 0.0000 0.0000 0.0000 3.1573 0.0000 0.0000 0.0000 6.1038" Properties=species:S:1:pos:R:3 pbc="T T T"
Ag 1.5786 1.5786 3.0519
O 0.0000 1.5786 0.0000
O 1.5786 0.0000 0.0000
F 0.0000 0.0000 3.0519
C 0.0000 0.0000 0.0000
```

Entry 9:
VASP calculation (PBE-GGA) on a relaxed MnSiHg crystal.

Summary:
formation energy without anion corrections = 0.583 eV/atom

```
3
Lattice="-1.9397 3.9578 -0.3688 -4.3725 0.2717 -0.6086 -2.5961 1.5020 3.2507" Properties=species:S:1:pos:R:3 pbc="T T T"
Mn 0.0000 0.0000 0.0000
Hg -6.6812 4.2986 1.7049
Si -4.4542 2.8657 1.1366
```

Entry 10:
VASP calculation (PBE-GGA) on a relaxed Ca2MoRu crystal.

Summary:
total energy = -21.24 eV/cell

```
4
Lattice="5.7079 0.0047 0.0000 2.8867 4.9242 0.0000 -4.2973 -2.4644 2.8355" Properties=species:S:1:pos:R:3 pbc="T T T"
Mo 1.4434 2.4621 1.4178
Ca 4.2973 2.4644 0.0000
Ca 0.0000 0.0000 0.0000
Ru 2.8540 0.0023 1.4178
```

Entry 11:
VASP calculation (PBE-GGA) on a relaxed Sc3Ga3CoRu2 crystal.

Summary:
total energy = -58.60 eV/cell

```
9
Lattice="3.3458 0.0000 0.0000 0.0000 7.1332 0.0000 0.0000 -3.5666 6.1776" Properties=species:S:1:pos:R:3 pbc="T T T"
Ga 1.6729 5.2599 0.0000
Ga 1.6729 0.9367 1.6223
Ga 1.6729 -2.6300 4.5552
Sc 0.0000 2.7917 0.0000
Sc 0.0000 -1.3958 2.4177
Sc 0.0000 2.1708 3.7599
Ru 1.6729 3.5666 2.0592
Ru 1.6729 0.0000 4.1184
Co 0.0000 0.0000 0.0000
```

Entry 12:
VASP calculation (PBE-GGA) on a relaxed Cu2IrSe crystal.

Summary:
formation energy without anion corrections = 0.401 eV/atom

```
4
Lattice="2.8003 -0.0078 0.0000 -1.3901 2.4309 0.0000 0.0000 0.0000 8.7875" Properties=species:S:1:pos:R:3 pbc="T T T"
Ir 0.0000 0.0000 4.3385
Se 0.7051 1.2115 6.5123
Cu 0.0000 0.0000 0.1613
Cu 0.7051 1.2115 2.1691
```

Entry 13:
VASP calculation (PBE-GGA) on a relaxed LaPmOs4 crystal.

Summary:
total energy = -55.03 eV/cell

```
6
Lattice="-0.3512 3.0560 -4.5044 -4.8889 1.2929 -2.0442 -1.8199 5.1319 0.3211" Properties=species:S:1:pos:R:3 pbc="T T T"
Os -4.4113 5.9239 -3.8911
Os -4.2359 4.3980 -1.6420
Os -3.5026 3.3615 -4.0514
Os -1.9702 5.2783 -2.8704
Pm -1.7650 2.3702 -1.5569
La 0.0000 0.0000 0.0000
```

Entry 14:
VASP calculation (PBE-GGA) on a relaxed SrMg9Ag3 crystal.

Summary:
total energy = -26.52 eV/cell

```
13
Lattice="5.2656 0.0372 2.1374 2.5784 7.1888 1.0466 -0.0815 0.0186 7.7557" Properties=species:S:1:pos:R:3 pbc="T T T"
Mg 3.4988 4.7482 6.4286
Mg 5.7074 5.6884 8.3700
Mg 4.5793 5.6697 3.5943
Mg 6.9081 4.7668 5.5846
Mg 4.2636 2.4964 4.5112
Mg 2.0551 1.5562 2.5697
Mg 1.2892 3.5944 0.5233
Mg 0.8544 2.4778 5.3552
Mg 3.1832 1.5748 7.3454
Ag -0.0408 0.0093 3.8779
Ag 3.9220 3.6130 1.5920
Ag 2.5920 0.0279 4.9466
Sr 0.0000 0.0000 0.0000
```

Entry 15:
VASP calculation (PBE-GGA) on a relaxed Tb7Sm2Sc2 crystal.

Summary:
total energy = -50.44 eV/cell

```
11
Lattice="-9.1358 -1.8377 4.2322 0.4899 -3.3723 -1.0661 2.5079 -3.4091 9.3188" Properties=species:S:1:pos:R:3 pbc="T T T"
Tb 0.2449 -1.6862 -0.5331
Tb 1.9107 -4.4834 5.2851
Tb 0.0743 -3.5205 8.0854
Tb -6.2123 -5.0987 4.3995
Tb -0.4311 -6.3373 10.0732
Tb -5.7069 -2.2818 2.4117
Tb -8.0487 -4.1357 7.1998
Sc -4.2375 -3.6599 5.9224
Sc -1.9005 -4.9592 6.5624
Sm -4.4826 -3.5486 9.1649
Sm -2.1452 -1.6982 4.3861
```

Entry 16:
VASP calculation (PBE-GGA) on a relaxed CaTmAu crystal.

Summary:
total energy = -10.89 eV/cell

```
3
Lattice="-3.1058 -2.7945 -0.6318 2.9867 -3.6157 1.3102 -2.7120 2.2551 3.3571" Properties=species:S:1:pos:R:3 pbc="T T T"
Au -1.4712 -0.2946 2.5408
Ca -0.9193 -3.4641 1.5843
Tm -0.4405 -0.3963 -0.0896
```

Entry 17:
VASP calculation (PBE-GGA) on a relaxed Tl2InSe2 crystal.

Summary:
formation energy without anion corrections = -0.364 eV/atom

```
20
Lattice="-3.1146 -0.6799 -6.8373 5.5918 -6.0000 -1.9506 -4.6117 -6.4961 6.7614" Properties=species:S:1:pos:R:3 pbc="T T T"
Tl 0.8856 -2.0164 -0.4144
Tl 2.2568 -7.5864 -2.9417
Tl -1.4486 -10.8350 1.8016
Tl -3.0202 -11.1596 -1.6121
Tl -0.6860 -2.3410 -3.8281
Tl -0.9639 -6.1415 -5.7801
Tl -1.1706 -7.0345 3.7536
Tl -4.3913 -5.5896 0.9152
Se -0.9347 -7.7025 -2.8089
Se -1.1998 -5.4735 0.7824
Se -4.2708 -6.3391 4.3063
Se -3.8331 -4.6590 -2.2609
Se -3.9376 -8.7077 0.2282
Se 1.6985 -8.5170 0.2344
Se 1.8030 -4.4683 -2.2547
Se 2.1363 -6.8368 -6.3328
In -1.1360 -2.8323 2.0666
In -0.9376 -5.0561 -1.9645
In -1.1969 -8.1199 -0.0620
In -0.9986 -10.3437 -4.0931
```

Entry 18:
VASP calculation (PBE-GGA) on a relaxed RbSrP2S crystal.

Summary:
formation energy without anion corrections = 0.792 eV/atom

```
5
Lattice="5.3646 0.0000 0.0000 0.0000 5.3646 0.0000 0.0000 0.0000 5.6388" Properties=species:S:1:pos:R:3 pbc="T T T"
Sr 2.6823 2.6823 2.8194
Rb 0.0000 0.0000 0.0000
P 2.6823 0.0000 0.0000
P 0.0000 2.6823 0.0000
S 0.0000 0.0000 2.8194
```

Entry 19:
VASP calculation (PBE-GGA) on a relaxed CaTa2Pb crystal.

Summary:
total energy = -28.16 eV/cell

```
4
Lattice="3.1615 -0.0098 0.0000 -1.0359 2.9869 0.0000 0.0000 0.0000 9.8380" Properties=species:S:1:pos:R:3 pbc="T T T"
Ta 0.0000 0.0000 0.1688
Ta 1.0628 1.4886 2.1766
Ca 0.0000 0.0000 4.8084
Pb 1.0628 1.4886 7.6032
```